MnInCl | PBEsol | relaxed

Results
- VASP energy: -4.498 eV per atom
- Formation energy (no corrections): 419.3 meV/atom

Cell: 4.565 4.565 4.565 Å, 60.00 60.00 60.00°
Atoms (fractional coordinates):
Mn  0.000  0.000  0.000
In  0.250  0.250  0.250
Cl  0.750  0.750  0.750